(1)
## Na16In12Sn (PBE)

Data for a relaxed structure of Na16In12Sn.

Output
Energy relative to the elements (eV/atom): -0.120
Symmetry: No. 8
D(E_F) (states/eV/f.u.): 12.41

Cell: 10.227 10.227 10.044 Å, 109.06 109.06 109.73°
Fractional coordinates of all 29 atoms:
Na 0.278 0.587 0.588
Na 0.712 0.318 0.309
Na 0.351 0.351 0.341
In 0.187 0.812 0.811
Na 0.000 0.409 0.686
In 0.626 0.626 0.810
Na 0.311 0.311 0.718
Na 0.414 0.682 0.007
Na 0.000 0.649 0.004
In 0.812 0.187 0.811
Sn 0.623 0.623 0.315
In 0.810 0.810 0.182
In 0.182 0.997 0.369
Na 0.999 0.999 0.643
In 0.367 0.186 0.998
Na 0.587 0.278 0.588
In 0.992 0.361 0.180
Na 0.682 0.414 0.007
Na 0.409 0.000 0.686
Na 0.683 0.001 0.407
In 0.997 0.182 0.369
Na 0.318 0.712 0.309
In 0.361 0.992 0.180
In 0.824 0.636 0.638
In 0.186 0.367 0.998
Na 0.002 0.002 0.000
Na 0.001 0.683 0.407
Na 0.649 0.000 0.004
In 0.636 0.824 0.638

=====

(2)
## CaNi2Ag2 (PBE)

Data for a relaxed structure of CaNi2Ag2.

Output
Energy relative to the elements (eV/atom): 0.081
Symmetry: No. 127
D(E_F) (states/eV/f.u.): 2.86

Cell: 7.396 7.396 3.120 Å, 90.00 90.00 90.00°
Fractional coordinates of all 10 atoms:
Ni 0.618 0.118 0.000
Ni 0.118 0.382 0.000
Ag 0.327 0.173 0.500
Ag 0.173 0.673 0.500
Ca 0.000 0.000 0.000
Ag 0.673 0.827 0.500
Ni 0.382 0.882 0.000
Ni 0.882 0.618 0.000
Ag 0.827 0.327 0.500
Ca 0.500 0.500 0.000

=====

no.,DFT total energy (eV per cell)
1,-61.5
2,-37.7